Record 1
This record from Alexandria describes crystalline LaNd2Fe at its relaxed geometry. The functional is PBE-GGA.

abc: 3.6062 3.6062 32.6613
angles: 90.00 90.00 120.00
Space group R-3m (No. 166, hexagonal axes)
Symmetry-distinct sites (fractional):
La 0.0000 0.0000 0.0000 x3
Nd 0.0000 0.0000 0.1088 x6
Fe 0.0000 0.0000 0.5000 x3

Output
Calculated total energy = -5.379 eV/atom
Calculated volume = 367.8 Å³/cell
Total magnetization = 0.2395 μB per atom
DOS at the Fermi energy = 17.818 states/eV per cell


Record 2
This record from Alexandria describes crystalline YMgMo2 at its relaxed geometry. The functional is PBE-GGA.

abc: 9.3100 2.8164 6.0556
angles: 90.00 91.80 90.00
Space group Cm (No. 8)
Symmetry-distinct sites (fractional):
Y 0.0000 0.0000 0.0000 x2
Mg 0.2505 0.5000 0.2947 x2
Mo 0.2499 0.0000 0.7159 x2
Mo 0.4887 0.0000 0.5257 x2

Output
Calculated total energy = -6.978 eV/atom
Calculated volume = 158.7 Å³/cell
Total magnetization = 0.0000 μB per atom
DOS at the Fermi energy = 6.666 states/eV per cell


Record 3
This record from Alexandria describes crystalline Ac3Nd4Ge4 at its relaxed geometry. The functional is PBE-GGA.

abc: 4.3117 8.9969 17.4664
angles: 90.00 90.00 90.00
Space group Immm (No. 71)
Symmetry-distinct sites (fractional):
Ac 0.0000 0.0000 0.0000 x2
Ac 0.0000 0.5000 0.1004 x4
Nd 0.0000 0.3174 0.3281 x8
Ge 0.0000 0.0000 0.2597 x4
Ge 0.0000 0.2225 0.5000 x4

Output
Calculated total energy = -5.118 eV/atom
Calculated volume = 677.6 Å³/cell
Total magnetization = 0.0000 μB per atom
DOS at the Fermi energy = 29.280 states/eV per cell


Record 4
This record from Alexandria describes crystalline Na7Tl4Hg at its relaxed geometry. The functional is PBE-GGA.

abc: 5.4513 5.4513 13.3845
angles: 90.00 90.00 120.00
Space group P-3m1 (No. 164)
Symmetry-distinct sites (fractional):
Na 0.0000 0.0000 0.0000 x1
Na 0.0000 0.0000 0.2640 x2
Na 0.3333 0.6667 0.1647 x2
Na 0.3333 0.6667 0.4283 x2
Tl 0.3333 0.6667 0.6788 x2
Tl 0.3333 0.6667 0.9178 x2
Hg 0.0000 0.0000 0.5000 x1

Output
Calculated volume = 344.5 Å³/cell
Total magnetization = 0.0000 μB per atom
DOS at the Fermi energy = 5.670 states/eV per cell
Relative energy among the computed polymorphs = 0.000 eV per atom


Record 5
This record from Alexandria describes crystalline PmNiGeIr at its relaxed geometry. The functional is PBE-GGA.

abc: 6.5377 6.5377 6.5377
angles: 90.00 90.00 90.00
Space group F-43m (No. 216)
Symmetry-distinct sites (fractional):
Pm 0.0000 0.0000 0.0000 x4
Ni 0.2500 0.2500 0.2500 x4
Ge 0.0000 0.0000 0.5000 x4
Ir 0.2500 0.2500 0.7500 x4

Output
Calculated total energy = -6.267 eV/atom
Calculated volume = 279.4 Å³/cell
Total magnetization = 0.0000 μB per atom
DOS at the Fermi energy = 12.741 states/eV per cell


Record 6
This record from Alexandria describes crystalline CaTi2Nb at its relaxed geometry. The functional is PBE-GGA.

abc: 4.1823 4.1823 19.6175
angles: 90.00 90.00 90.00
Space group I-42d (No. 122)
Symmetry-distinct sites (fractional):
Ca 0.0000 0.0000 0.0000 x4
Ti 0.2158 0.7500 0.6250 x8
Nb 0.0000 0.0000 0.5000 x4

Output
Calculated volume = 343.1 Å³/cell
Total magnetization = 0.0001 μB per atom
DOS at the Fermi energy = 18.357 states/eV per cell
Relative energy among the computed polymorphs = 0.412 eV per atom


Record 7
This record from Alexandria describes crystalline CsNiMo2Au at its relaxed geometry. The functional is PBE-GGA.

abc: 5.0220 5.0220 4.9254
angles: 90.00 90.00 90.00
Space group P4/mmm (No. 123)
Symmetry-distinct sites (fractional):
Cs 0.0000 0.0000 0.0000 x1
Ni 0.5000 0.5000 0.0000 x1
Mo 0.0000 0.5000 0.5000 x2
Au 0.5000 0.5000 0.5000 x1

Output
Calculated total energy = -4.438 eV/atom
Calculated volume = 124.2 Å³/cell
Total magnetization = 1.3494 μB per atom
DOS at the Fermi energy = 6.871 states/eV per cell


Record 8
This record from Alexandria describes crystalline Sr2Mg2V at its relaxed geometry. The functional is PBE-GGA.

abc: 7.8466 7.8466 5.4322
angles: 90.00 90.00 90.00
Space group P4/mbm (No. 127)
Symmetry-distinct sites (fractional):
Sr 0.1775 0.3225 0.0000 x4
Mg 0.1396 0.6396 0.5000 x4
V 0.0000 0.0000 0.5000 x2

Output
Calculated volume = 334.5 Å³/cell
Total magnetization = 0.7800 μB per atom
DOS at the Fermi energy = 9.646 states/eV per cell
Relative energy among the computed polymorphs = 0.000 eV per atom